A plane-wave DFT calculation with PBE was carried out for a relaxed Eu2SbH crystal.

Summary:
- DFT total energy (eV/cell) = -30.012
- V (Å³/atom) = 27.05

Geometry as CIF:
```
data_Eu2SbH
_chemical_formula_sum 'Eu2 Sb1 H1'
_cell_length_a 5.314
_cell_length_b 5.314
_cell_length_c 3.832
_cell_angle_alpha 90.00
_cell_angle_beta 90.00
_cell_angle_gamma 90.00
_space_group_name_H-M_alt 'P 4/m m m'
_space_group_IT_number 123
_space_group_name_Hall '-P 4 2'
loop_
_atom_site_label
_atom_site_type_symbol
_atom_site_fract_x
_atom_site_fract_y
_atom_site_fract_z
Eu1 Eu 0.000 0.500 0.000
Sb1 Sb 0.000 0.000 0.500
H1 H 0.500 0.500 0.500
```